Entry from Alexandria via LeMat-Bulk: Mg2TaTe after structural relaxation (PBE).

## Properties
Raw formation energy (kJ/mol of atoms): 28
E_tot (eV/atom): -4.2506
Crystal system: orthorhombic

abc: 3.4307 4.7830 5.0974
angles: 90.00 90.00 90.00
With the nearest neighbours (Å) after each atom.
Fractional coordinates of all 4 atoms:
Mg (0.0000, 0.0000, 0.0000)  4 Mg 2.94, 4 Te 3.07
Mg (0.5000, 0.5000, 0.0000)  4 Mg 2.94, 4 Ta 3.07
Ta (0.0000, 0.5000, 0.5000)  4 Te 2.94, 4 Mg 3.07
Te (0.5000, 0.0000, 0.5000)  4 Ta 2.94, 4 Mg 3.07



Entry from Alexandria via LeMat-Bulk: TiMnCrNi after structural relaxation (PBE).

## Properties
E_tot (eV/atom): -8.2116
Crystal system: cubic

abc: 4.1619 4.1619 4.1619
angles: 60.00 60.00 60.00
With the nearest neighbours (Å) after each atom.
Fractional coordinates of all 4 atoms:
Ti (0.0000, 0.0000, 0.0000)  4 Cr 2.55, 4 Ni 2.55
Mn (0.5000, 0.5000, 0.5000)  4 Cr 2.55, 4 Ni 2.55
Cr (0.7500, 0.7500, 0.7500)  4 Mn 2.55, 4 Ti 2.55
Ni (0.2500, 0.2500, 0.2500)  4 Mn 2.55, 4 Ti 2.55



Entry from Alexandria via LeMat-Bulk: CdSiAg2 after structural relaxation (PBE).

## Properties
Raw formation energy (kJ/mol of atoms): 33
ΔE to the lowest computed polymorph (meV per atom): 214
E_tot (eV/atom): -2.6722
Crystal system: tetragonal

abc: 6.0772 6.0772 6.0772
angles: 101.96 101.96 125.84
With the nearest neighbours (Å) after each atom.
Fractional coordinates of all 8 atoms:
Cd (0.0000, 0.0000, 0.0000)  2 Si 2.77, 4 Ag 3.03
Cd (0.7500, 0.2500, 0.5000)  2 Si 2.77, 4 Ag 3.03
Si (0.2500, 0.7500, 0.5000)  4 Ag 2.57, 2 Cd 2.77
Si (0.5000, 0.5000, 0.0000)  4 Ag 2.57, 2 Cd 2.77
Ag (0.1692, 0.6250, 0.0442)  2 Si 2.57, 2 Ag 2.85
Ag (0.3750, 0.4192, 0.5442)  2 Si 2.57, 2 Ag 2.85
Ag (0.5808, 0.1250, 0.9558)  2 Si 2.57, 2 Ag 2.85
Ag (0.8750, 0.8308, 0.4558)  2 Si 2.57, 2 Ag 2.85



Entry from Alexandria via LeMat-Bulk: NiAs after structural relaxation (PBE).

## Properties
E_tot (eV/atom): -5.2640
Crystal system: tetragonal

abc: 6.9075 6.9075 6.9075
angles: 94.09 94.09 149.01
With the nearest neighbours (Å) after each atom.
Fractional coordinates of all 8 atoms:
Ni (0.1645, 0.2880, 0.4525)  4 As 2.25-2.33
Ni (0.2880, 0.8355, 0.1234)  4 As 2.25-2.33
Ni (0.7120, 0.1645, 0.8766)  4 As 2.25-2.33
Ni (0.8355, 0.7120, 0.5475)  4 As 2.25-2.33
As (0.0741, 0.7111, 0.7852)  4 Ni 2.25-2.33
As (0.2889, 0.0741, 0.3629)  4 Ni 2.25-2.33
As (0.7111, 0.9259, 0.6371)  4 Ni 2.25-2.33
As (0.9259, 0.2889, 0.2148)  4 Ni 2.25-2.33



Entry from Alexandria via LeMat-Bulk: Ce8Hg2Au after structural relaxation (PBE).

## Properties
E_tot (eV/atom): -4.7646
Crystal system: monoclinic

abc: 8.7028 8.7028 5.6517
angles: 95.30 95.30 45.91
With the nearest neighbours (Å) after each atom.
Fractional coordinates of all 11 atoms:
Ce (0.0242, 0.0242, 0.2368)  3 Ce 2.71-2.75
Ce (0.1297, 0.6480, 0.2786)  1 Ce 2.75, 1 Au 3.05
Ce (0.3154, 0.3154, 0.7611)  1 Au 3.13, 4 Hg 3.22-3.43
Ce (0.3520, 0.8703, 0.7214)  1 Ce 2.75, 1 Au 3.05
Ce (0.6480, 0.1297, 0.2786)  1 Ce 2.75, 1 Au 3.05
Ce (0.6846, 0.6846, 0.2389)  1 Au 3.13, 4 Hg 3.22-3.43
Ce (0.8703, 0.3520, 0.7214)  1 Ce 2.75, 1 Au 3.05
Ce (0.9758, 0.9758, 0.7632)  3 Ce 2.71-2.75
Hg (0.2163, 0.2163, 0.2356)  7 Ce 3.08-3.43
Hg (0.7837, 0.7837, 0.7644)  7 Ce 3.08-3.43
Au (0.5000, 0.5000, 0.0000)  6 Ce 3.05-3.13



Entry from Alexandria via LeMat-Bulk: CuPd12Au6 after structural relaxation (PBE).

## Properties
ΔE to the lowest computed polymorph (meV per atom): 95
E_tot (eV/atom): -4.4875
Crystal system: trigonal

abc: 6.8108 6.8108 6.8108
angles: 90.89 90.89 90.89
With the nearest neighbours (Å) after each atom.
Fractional coordinates of all 19 atoms:
Cu (0.0000, 0.0000, 0.0000)  6 Au 2.70, 6 Pd 2.72
Pd (0.0477, 0.3706, 0.1477)  4 Pd 2.70-2.78, 1 Cu 2.72, 5 Au 2.81-2.93
Pd (0.1477, 0.0477, 0.3706)  4 Pd 2.70-2.78, 1 Cu 2.72, 5 Au 2.81-2.93
Pd (0.2034, 0.5489, 0.4715)  4 Pd 2.70-2.87, 4 Au 2.71-2.90
Pd (0.3706, 0.1477, 0.0477)  4 Pd 2.70-2.78, 1 Cu 2.72, 5 Au 2.81-2.93
Pd (0.4511, 0.5285, 0.7966)  4 Pd 2.70-2.87, 4 Au 2.71-2.90
Pd (0.4715, 0.2034, 0.5489)  4 Pd 2.70-2.87, 4 Au 2.71-2.90
Pd (0.5285, 0.7966, 0.4511)  4 Pd 2.70-2.87, 4 Au 2.71-2.90
Pd (0.5489, 0.4715, 0.2034)  4 Pd 2.70-2.87, 4 Au 2.71-2.90
Pd (0.6294, 0.8523, 0.9523)  4 Pd 2.70-2.78, 1 Cu 2.72, 5 Au 2.81-2.93
Pd (0.7966, 0.4511, 0.5285)  4 Pd 2.70-2.87, 4 Au 2.71-2.90
Pd (0.8523, 0.9523, 0.6294)  4 Pd 2.70-2.78, 1 Cu 2.72, 5 Au 2.81-2.93
Pd (0.9523, 0.6294, 0.8523)  4 Pd 2.70-2.78, 1 Cu 2.72, 5 Au 2.81-2.93
Au (0.1180, 0.2713, 0.7393)  1 Cu 2.70, 9 Pd 2.71-2.93, 2 Au 2.84
Au (0.2607, 0.8820, 0.7287)  1 Cu 2.70, 9 Pd 2.71-2.93, 2 Au 2.84
Au (0.2713, 0.7393, 0.1180)  1 Cu 2.70, 9 Pd 2.71-2.93, 2 Au 2.84
Au (0.7287, 0.2607, 0.8820)  1 Cu 2.70, 9 Pd 2.71-2.93, 2 Au 2.84
Au (0.7393, 0.1180, 0.2713)  1 Cu 2.70, 9 Pd 2.71-2.93, 2 Au 2.84
Au (0.8820, 0.7287, 0.2607)  1 Cu 2.70, 9 Pd 2.71-2.93, 2 Au 2.84



Entry from Alexandria via LeMat-Bulk: Cs8ClF6 after structural relaxation (PBE).

## Properties
Raw formation energy (kJ/mol of atoms): -219
E_tot (eV/atom): -3.5942
Crystal system: trigonal

abc: 11.3954 11.3954 4.5066
angles: 90.00 90.00 120.00
With the nearest neighbours (Å) after each atom.
Fractional coordinates of all 15 atoms:
Cs (0.0383, 0.6939, 0.2443)  4 F 2.99-3.17
Cs (0.3061, 0.3445, 0.2443)  4 F 2.99-3.17
Cs (0.3333, 0.6667, 0.7448)  6 F 3.12-3.17
Cs (0.3445, 0.0383, 0.7557)  4 F 2.99-3.17
Cs (0.6555, 0.9617, 0.2443)  4 F 2.99-3.17
Cs (0.6667, 0.3333, 0.2552)  6 F 3.12-3.17
Cs (0.6939, 0.6555, 0.7557)  4 F 2.99-3.17
Cs (0.9617, 0.3061, 0.7557)  4 F 2.99-3.17
Cl (0.0000, 0.0000, 0.0000)  6 Cs 3.89
F (0.1366, 0.4782, 0.2524)  6 Cs 2.99-3.17
F (0.3416, 0.8634, 0.2524)  6 Cs 2.99-3.17
F (0.4782, 0.3416, 0.7476)  6 Cs 2.99-3.17
F (0.5218, 0.6584, 0.2524)  6 Cs 2.99-3.17
F (0.6584, 0.1366, 0.7476)  6 Cs 2.99-3.17
F (0.8634, 0.5218, 0.7476)  6 Cs 2.99-3.17



Entry from Alexandria via LeMat-Bulk: Ca2MgBr6 after structural relaxation (PBE).

## Properties
Raw formation energy (kJ/mol of atoms): -178
ΔE to the lowest computed polymorph (meV per atom): 0
E_tot (eV/atom): -3.5810
Crystal system: monoclinic

abc: 7.8440 7.8440 10.5583
angles: 108.11 108.11 30.70
With the nearest neighbours (Å) after each atom.
Fractional coordinates of all 9 atoms:
Ca (0.1668, 0.1668, 0.3256)  6 Br 2.90-2.94
Ca (0.8332, 0.8332, 0.6744)  6 Br 2.90-2.94
Mg (0.5000, 0.5000, 0.0000)  6 Br 2.69-2.77
Br (0.1271, 0.1271, 0.0370)  2 Mg 2.77, 1 Ca 2.91
Br (0.1915, 0.1915, 0.6133)  3 Ca 2.90-2.94
Br (0.4751, 0.4751, 0.7360)  1 Mg 2.69, 2 Ca 2.91
Br (0.5249, 0.5249, 0.2640)  1 Mg 2.69, 2 Ca 2.91
Br (0.8085, 0.8085, 0.3867)  3 Ca 2.90-2.94
Br (0.8729, 0.8729, 0.9630)  2 Mg 2.77, 1 Ca 2.91



Entry from Alexandria via LeMat-Bulk: Nd5ErMg after structural relaxation (PBE).

## Properties
E_tot (eV/atom): -4.1792
Crystal system: monoclinic

abc: 6.5087 6.5087 11.9926
angles: 104.11 104.11 95.73
With the nearest neighbours (Å) after each atom.
Fractional coordinates of all 14 atoms:
Nd (0.0189, 0.3953, 0.8436)  8 Nd 3.49-3.89, 2 Er 3.54-3.60, 1 Mg 3.54
Nd (0.1367, 0.8633, 0.7500)  2 Mg 3.28, 6 Nd 3.41-3.59, 1 Er 3.44
Nd (0.2279, 0.5417, 0.4634)  4 Nd 3.32-3.57, 1 Mg 3.44, 2 Er 3.46-3.52
Nd (0.3953, 0.0189, 0.3436)  8 Nd 3.49-3.89, 2 Er 3.54-3.60, 1 Mg 3.54
Nd (0.4583, 0.7721, 0.0366)  4 Nd 3.32-3.57, 1 Mg 3.44, 2 Er 3.46-3.52
Nd (0.5417, 0.2279, 0.9634)  4 Nd 3.32-3.57, 1 Mg 3.44, 2 Er 3.46-3.52
Nd (0.6047, 0.9811, 0.6564)  8 Nd 3.49-3.89, 2 Er 3.54-3.60, 1 Mg 3.54
Nd (0.7721, 0.4583, 0.5366)  4 Nd 3.32-3.57, 1 Mg 3.44, 2 Er 3.46-3.52
Nd (0.8633, 0.1367, 0.2500)  2 Mg 3.28, 6 Nd 3.41-3.59, 1 Er 3.44
Nd (0.9811, 0.6047, 0.1564)  8 Nd 3.49-3.89, 2 Er 3.54-3.60, 1 Mg 3.54
Er (0.4926, 0.5074, 0.7500)  9 Nd 3.44-3.60
Er (0.5074, 0.4926, 0.2500)  9 Nd 3.44-3.60
Mg (0.0000, 0.0000, 0.0000)  6 Nd 3.28-3.54
Mg (0.0000, 0.0000, 0.5000)  6 Nd 3.28-3.54



Entry from Alexandria via LeMat-Bulk: Sn2Te4PbAu after structural relaxation (PBE).

## Properties
Raw formation energy (kJ/mol of atoms): -19
E_tot (eV/atom): -3.6367
Crystal system: monoclinic

abc: 7.6683 4.4279 7.7061
angles: 90.00 110.09 90.00
With the nearest neighbours (Å) after each atom.
Fractional coordinates of all 8 atoms:
Sn (0.0000, 0.0000, 0.0000)  6 Te 3.08-3.12
Sn (0.5000, 0.5000, 0.0000)  6 Te 3.20-3.22
Te (0.2314, 0.0000, 0.7374)  2 Au 3.03, 3 Sn 3.12-3.22, 1 Pb 3.19
Te (0.2394, 0.5000, 0.2479)  3 Sn 3.08-3.20, 1 Au 3.10, 2 Pb 3.16
Te (0.7606, 0.5000, 0.7521)  3 Sn 3.08-3.20, 1 Au 3.10, 2 Pb 3.16
Te (0.7686, 0.0000, 0.2626)  2 Au 3.03, 3 Sn 3.12-3.22, 1 Pb 3.19
Pb (0.5000, 0.0000, 0.5000)  6 Te 3.16-3.19
Au (0.0000, 0.5000, 0.5000)  6 Te 3.03-3.10



Entry from Alexandria via LeMat-Bulk: Ho2TaSi2Ru5 after structural relaxation (PBE).

## Properties
Raw formation energy (kJ/mol of atoms): -67
E_tot (eV/atom): -8.5208
Crystal system: tetragonal

abc: 10.0524 10.0524 3.2267
angles: 90.00 90.00 90.00
With the nearest neighbours (Å) after each atom.
Fractional coordinates of all 20 atoms:
Ho (0.1733, 0.3267, 0.0000)  3 Si 2.85-3.05, 10 Ru 2.95-3.14
Ho (0.3267, 0.8267, 0.0000)  3 Si 2.85-3.05, 10 Ru 2.95-3.14
Ho (0.6733, 0.1733, 0.0000)  3 Si 2.85-3.05, 10 Ru 2.95-3.14
Ho (0.8267, 0.6733, 0.0000)  3 Si 2.85-3.05, 10 Ru 2.95-3.14
Ta (0.0000, 0.0000, 0.0000)  8 Ru 2.73
Ta (0.5000, 0.5000, 0.0000)  8 Ru 2.73
Si (0.1260, 0.6260, 0.0000)  6 Ru 2.40-2.41
Si (0.3740, 0.1260, 0.0000)  6 Ru 2.40-2.41
Si (0.6260, 0.8740, 0.0000)  6 Ru 2.40-2.41
Si (0.8740, 0.3740, 0.0000)  6 Ru 2.40-2.41
Ru (0.0000, 0.5000, 0.5000)  4 Si 2.41
Ru (0.0674, 0.7921, 0.5000)  2 Si 2.40
Ru (0.2079, 0.0674, 0.5000)  2 Si 2.40
Ru (0.2921, 0.5674, 0.5000)  2 Si 2.40
Ru (0.4326, 0.2921, 0.5000)  2 Si 2.40
Ru (0.5000, 0.0000, 0.5000)  4 Si 2.41
Ru (0.5674, 0.7079, 0.5000)  2 Si 2.40
Ru (0.7079, 0.4326, 0.5000)  2 Si 2.40
Ru (0.7921, 0.9326, 0.5000)  2 Si 2.40
Ru (0.9326, 0.2079, 0.5000)  2 Si 2.40



Entry from Alexandria via LeMat-Bulk: KTmF4 after structural relaxation (PBE).

## Properties
Raw formation energy (kJ/mol of atoms): -362
E_tot (eV/atom): -5.9279
Crystal system: orthorhombic

abc: 9.0908 9.0908 6.1887
angles: 90.00 90.00 152.54
With the nearest neighbours (Å) after each atom.
Fractional coordinates of all 12 atoms:
K (0.1953, 0.8047, 0.5000)  6 F 2.73-2.77
K (0.8047, 0.1953, 0.0000)  6 F 2.73-2.77
Tm (0.4137, 0.5863, 0.5026)  6 F 2.11-2.17
Tm (0.5863, 0.4137, 0.0026)  6 F 2.11-2.17
F (0.0855, 0.9145, 0.0035)  2 Tm 2.16
F (0.3265, 0.6735, 0.7367)  1 Tm 2.11
F (0.3283, 0.6717, 0.2635)  1 Tm 2.11
F (0.4985, 0.5015, 0.7571)  2 Tm 2.17
F (0.5015, 0.4985, 0.2571)  2 Tm 2.17
F (0.6717, 0.3283, 0.7635)  1 Tm 2.11
F (0.6735, 0.3265, 0.2367)  1 Tm 2.11
F (0.9145, 0.0855, 0.5035)  2 Tm 2.16